1.
DFT (PBE) results for a geometry-optimized LaPd structure.

```
data_LaPd
_cell_length_a 3.9667
_cell_length_b 11.0668
_cell_length_c 4.7041
_cell_angle_alpha 90.00
_cell_angle_beta 90.00
_cell_angle_gamma 90.00
_space_group_name_H-M_alt 'C m c m'
_space_group_IT_number 63
_space_group_name_Hall '-C 2c 2'
loop_
_atom_site_label
_atom_site_type_symbol
_atom_site_fract_x
_atom_site_fract_y
_atom_site_fract_z
La1 La 0.0000 0.1350 0.2500
Pd1 Pd 0.0000 0.4114 0.2500
```



2.
DFT (PBE) results for a geometry-optimized LaPd2 structure.

```
data_LaPd2
_cell_length_a 5.2763
_cell_length_b 5.2800
_cell_length_c 5.2954
_cell_angle_alpha 90.00
_cell_angle_beta 119.41
_cell_angle_gamma 90.00
_space_group_name_H-M_alt 'C 1 2/m 1'
_space_group_IT_number 12
_space_group_name_Hall '-C 2y'
loop_
_atom_site_label
_atom_site_type_symbol
_atom_site_fract_x
_atom_site_fract_y
_atom_site_fract_z
La1 La 0.0000 0.0000 0.0000
Pd1 Pd 0.1697 0.5000 0.3414
```



3.
DFT (PBE) results for a geometry-optimized La4Pd structure.

```
data_La4Pd
_cell_length_a 5.7675
_cell_length_b 5.7675
_cell_length_c 5.7675
_cell_angle_alpha 90.00
_cell_angle_beta 90.00
_cell_angle_gamma 90.00
_space_group_name_H-M_alt 'P m -3 m'
_space_group_IT_number 221
_space_group_name_Hall '-P 4 2 3'
loop_
_atom_site_label
_atom_site_type_symbol
_atom_site_fract_x
_atom_site_fract_y
_atom_site_fract_z
La1 La 0.0000 0.0000 0.0000
La2 La 0.0000 0.5000 0.5000
Pd1 Pd 0.5000 0.5000 0.5000
```

Energy above the lowest structure with this stoichiometry ... 157 meV per atom



4.
DFT (PBE) results for a geometry-optimized LaPd2 structure.

```
data_LaPd2
_cell_length_a 4.3476
_cell_length_b 10.1584
_cell_length_c 5.8598
_cell_angle_alpha 90.00
_cell_angle_beta 90.00
_cell_angle_gamma 90.00
_space_group_name_H-M_alt 'C m c m'
_space_group_IT_number 63
_space_group_name_Hall '-C 2c 2'
loop_
_atom_site_label
_atom_site_type_symbol
_atom_site_fract_x
_atom_site_fract_y
_atom_site_fract_z
La1 La 0.0000 0.1780 0.2500
Pd1 Pd 0.0000 0.1109 0.7500
Pd2 Pd 0.0000 0.5000 0.0000
```



5.
DFT (PBE) results for a geometry-optimized La2Pd5 structure.

```
data_La2Pd5
_cell_length_a 7.4809
_cell_length_b 12.8316
_cell_length_c 5.9518
_cell_angle_alpha 90.00
_cell_angle_beta 90.00
_cell_angle_gamma 90.00
_space_group_name_H-M_alt 'C c c m'
_space_group_IT_number 66
_space_group_name_Hall '-C 2 2c'
loop_
_atom_site_label
_atom_site_type_symbol
_atom_site_fract_x
_atom_site_fract_y
_atom_site_fract_z
La1 La 0.2035 0.1033 0.0000
Pd1 Pd 0.0000 0.2667 0.2500
Pd2 Pd 0.0000 0.5000 0.2500
Pd3 Pd 0.2331 0.1317 0.5000
```



6.
DFT (PBE) results for a geometry-optimized LaPd3 structure.

```
data_LaPd3
_cell_length_a 4.2336
_cell_length_b 4.2336
_cell_length_c 4.2336
_cell_angle_alpha 90.00
_cell_angle_beta 90.00
_cell_angle_gamma 90.00
_space_group_name_H-M_alt 'P m -3 m'
_space_group_IT_number 221
_space_group_name_Hall '-P 4 2 3'
loop_
_atom_site_label
_atom_site_type_symbol
_atom_site_fract_x
_atom_site_fract_y
_atom_site_fract_z
La1 La 0.0000 0.0000 0.0000
Pd1 Pd 0.0000 0.5000 0.5000
```



| no. | uncorrected energy (eV/atom) |
| --- | --- |
| 1 | -5.889 |
| 2 | -5.766 |
| 3 | -5.105 |
| 4 | -5.925 |
| 5 | -5.866 |
| 6 | -5.918 |